Record 1
## LiTl3F8 (GGA-PBE)

Data for LiTl3F8 after structural relaxation.

Structure (CIF):
```
data_LiTl3F8
_chemical_formula_sum 'Li1 Tl3 F8'
_symmetry_space_group_name_H-M 'P 1'
_symmetry_Int_Tables_number 1
_symmetry_space_group_name_Hall 'P 1'
_cell_length_a 6.962
_cell_length_b 6.962
_cell_length_c 6.962
_cell_angle_alpha 132.97
_cell_angle_beta 132.97
_cell_angle_gamma 68.70
loop_
_atom_site_label
_atom_site_type_symbol
_atom_site_fract_x
_atom_site_fract_y
_atom_site_fract_z
_atom_site_occupancy
Li1 Li 0.000 0.000 0.000 1
Tl1 Tl 0.250 0.750 0.500 1
Tl2 Tl 0.500 0.500 0.000 1
Tl3 Tl 0.750 0.250 0.500 1
F1 F 0.106 0.106 0.481 1
F2 F 0.106 0.625 0.000 1
F3 F 0.375 0.375 0.481 1
F4 F 0.375 0.894 0.000 1
F5 F 0.625 0.106 0.000 1
F6 F 0.625 0.625 0.519 1
F7 F 0.894 0.375 0.000 1
F8 F 0.894 0.894 0.519 1
```

Output
space group: I4/mmm
E_form (uncorrected): -1.937 eV per atom
total magnetic moment: 0.00 μB/f.u.

Record 2
## Li3TlF6 (GGA-PBE)

Data for Li3TlF6 after structural relaxation.

Structure (CIF):
```
data_Li3TlF6
_chemical_formula_sum 'Li6 Tl2 F12'
_symmetry_space_group_name_H-M 'P 1'
_symmetry_Int_Tables_number 1
_symmetry_space_group_name_Hall 'P 1'
_cell_length_a 5.327
_cell_length_b 5.326
_cell_length_c 9.795
_cell_angle_alpha 90.00
_cell_angle_beta 122.15
_cell_angle_gamma 90.00
loop_
_atom_site_label
_atom_site_type_symbol
_atom_site_fract_x
_atom_site_fract_y
_atom_site_fract_z
_atom_site_occupancy
Li1 Li 0.000 0.000 0.000 1
Li2 Li 0.000 0.500 0.500 1
Li3 Li 0.254 0.016 0.741 1
Li4 Li 0.254 0.484 0.241 1
Li5 Li 0.746 0.516 0.759 1
Li6 Li 0.746 0.984 0.259 1
Tl1 Tl 0.500 0.000 0.500 1
Tl2 Tl 0.500 0.500 0.000 1
F1 F 0.074 0.178 0.429 1
F2 F 0.074 0.322 0.929 1
F3 F 0.240 0.657 0.410 1
F4 F 0.240 0.843 0.910 1
F5 F 0.405 0.131 0.259 1
F6 F 0.405 0.369 0.759 1
F7 F 0.595 0.631 0.241 1
F8 F 0.595 0.869 0.741 1
F9 F 0.760 0.157 0.090 1
F10 F 0.760 0.343 0.590 1
F11 F 0.926 0.678 0.071 1
F12 F 0.926 0.822 0.571 1
```

Output
space group: P2_1/c
E_form (uncorrected): -2.474 eV per atom
total magnetic moment: 0.00 μB/f.u.

Record 3
## Li2Tl2F (GGA-PBE)

Data for Li2Tl2F after structural relaxation.

Structure (CIF):
```
data_Li2Tl2F
_chemical_formula_sum 'Li2 Tl2 F1'
_symmetry_space_group_name_H-M 'P 1'
_symmetry_Int_Tables_number 1
_symmetry_space_group_name_Hall 'P 1'
_cell_length_a 3.400
_cell_length_b 3.400
_cell_length_c 10.231
_cell_angle_alpha 99.80
_cell_angle_beta 99.80
_cell_angle_gamma 59.43
loop_
_atom_site_label
_atom_site_type_symbol
_atom_site_fract_x
_atom_site_fract_y
_atom_site_fract_z
_atom_site_occupancy
Li1 Li 0.000 0.000 0.000 1
Li2 Li 0.585 0.585 0.756 1
Tl1 Tl 0.183 0.183 0.543 1
Tl2 Tl 0.423 0.423 0.266 1
F1 F 0.647 0.647 0.941 1
```

Output
space group: Cm
E_form (uncorrected): -1.142 eV per atom
total magnetic moment: 0.00 μB/f.u.

Record 4
## Li2TlF4 (GGA-PBE)

Data for Li2TlF4 after structural relaxation.

Structure (CIF):
```
data_Li2TlF4
_chemical_formula_sum 'Li4 Tl2 F8'
_symmetry_space_group_name_H-M 'P 1'
_symmetry_Int_Tables_number 1
_symmetry_space_group_name_Hall 'P 1'
_cell_length_a 6.350
_cell_length_b 6.350
_cell_length_c 6.350
_cell_angle_alpha 102.33
_cell_angle_beta 102.33
_cell_angle_gamma 124.95
loop_
_atom_site_label
_atom_site_type_symbol
_atom_site_fract_x
_atom_site_fract_y
_atom_site_fract_z
_atom_site_occupancy
Li1 Li 0.349 0.192 0.329 1
Li2 Li 0.808 0.137 0.157 1
Li3 Li 0.863 0.020 0.671 1
Li4 Li 0.980 0.651 0.843 1
Tl1 Tl 0.250 0.750 0.500 1
Tl2 Tl 0.500 0.500 0.000 1
F1 F 0.102 0.428 0.792 1
F2 F 0.143 0.001 0.789 1
F3 F 0.211 0.353 0.211 1
F4 F 0.572 0.364 0.674 1
F5 F 0.636 0.310 0.208 1
F6 F 0.647 0.857 0.858 1
F7 F 0.690 0.898 0.326 1
F8 F 0.999 0.789 0.142 1
```

Output
space group: I-4
E_form (uncorrected): -2.407 eV per atom
total magnetic moment: 0.00 μB/f.u.

Record 5
## LiTlF3 (GGA-PBE)

Data for LiTlF3 after structural relaxation.

Structure (CIF):
```
data_LiTlF3
_chemical_formula_sum 'Li1 Tl1 F3'
_symmetry_space_group_name_H-M 'P 1'
_symmetry_Int_Tables_number 1
_symmetry_space_group_name_Hall 'P 1'
_cell_length_a 4.651
_cell_length_b 4.651
_cell_length_c 4.651
_cell_angle_alpha 90.00
_cell_angle_beta 90.00
_cell_angle_gamma 90.00
loop_
_atom_site_label
_atom_site_type_symbol
_atom_site_fract_x
_atom_site_fract_y
_atom_site_fract_z
_atom_site_occupancy
Li1 Li 0.000 0.000 0.000 1
Tl1 Tl 0.500 0.500 0.500 1
F1 F 0.000 0.500 0.500 1
F2 F 0.500 0.000 0.500 1
F3 F 0.500 0.500 0.000 1
```

Output
space group: Pm-3m
E_form (uncorrected): -1.817 eV per atom
total magnetic moment: 0.00 μB/f.u.

Record 6
## Li2Tl2F (GGA-PBE)

Data for Li2Tl2F after structural relaxation.

Structure (CIF):
```
data_Li2Tl2F
_chemical_formula_sum 'Li2 Tl2 F1'
_symmetry_space_group_name_H-M 'P 1'
_symmetry_Int_Tables_number 1
_symmetry_space_group_name_Hall 'P 1'
_cell_length_a 9.643
_cell_length_b 9.643
_cell_length_c 3.294
_cell_angle_alpha 91.12
_cell_angle_beta 91.12
_cell_angle_gamma 20.01
loop_
_atom_site_label
_atom_site_type_symbol
_atom_site_fract_x
_atom_site_fract_y
_atom_site_fract_z
_atom_site_occupancy
Li1 Li 0.000 0.000 0.000 1
Li2 Li 0.141 0.141 0.515 1
Tl1 Tl 0.373 0.373 0.527 1
Tl2 Tl 0.741 0.741 0.024 1
F1 F 0.046 0.046 0.505 1
```

Output
space group: Cm
E_form (uncorrected): -1.132 eV per atom
total magnetic moment: 0.00 μB/f.u.

What is the formula in the second record? Li3TlF6

The highest E_form (uncorrected) belongs to which entry? number 6

Which of these has the lowest E_form (uncorrected)? Li3TlF6